1.
A plane-wave DFT calculation with PBE was carried out for a relaxed CuTcNi2 crystal.

Unit cell a=4.4222 b=4.4222 c=4.4222 alpha=130.95 beta=130.95 gamma=71.89
Fractional coordinates of all 4 atoms:
Cu  0.0000  0.0000  0.0000
Tc  0.5000  0.5000  0.0000
Ni  0.2500  0.7500  0.5000
Ni  0.7500  0.2500  0.5000

Summary:
As for the space-group type: I4/mmm. The value obtained for the formation energy is 143 meV per atom. The value obtained for the final energy is -6.36 eV per atom. As for the volume: 48 Å³/cell. The calculation puts the energy relative to the lowest polymorph listed for this composition at 156.8 meV per atom.

2.
A plane-wave DFT calculation with PBE was carried out for a relaxed CuTcNi2 crystal.

Unit cell a=8.4938 b=8.4938 c=8.4938 alpha=17.61 beta=17.61 gamma=17.61
Fractional coordinates of all 4 atoms:
Cu  0.0000  0.0000  0.0000
Tc  0.2436  0.2436  0.2436
Ni  0.4943  0.4943  0.4943
Ni  0.7475  0.7475  0.7475

Summary:
As for the space-group type: R3m. The value obtained for the formation energy is 139 meV per atom. The value obtained for the final energy is -6.37 eV per atom. As for the volume: 49 Å³/cell. The calculation puts the energy relative to the lowest polymorph listed for this composition at 152.4 meV per atom.

Q: Which value of final energy does entry 2 give?
A: -6.37 eV per atom

Q: Which value of energy relative to the lowest polymorph listed for this composition does entry 1 give?
A: 156.8 meV per atom

Q: Among the records above, which one has the highest energy relative to the lowest polymorph listed for this composition?
A: number 1